# 1
A geometry-optimized PrDy2ScSb4 structure. Source: the Alexandria database, functional PBE.

- SG: No. 10
- ΔE_f (raw): -1.0677 eV per atom

Cell lengths 7.5807, 4.3861, 7.5943 Å; angles 90.00, 109.49, 90.00 degrees
With the nearest neighbours (Å) after each atom.
Atoms (fractional coordinates):
Pr (0.0000, 0.0000, 0.0000)  6 Sb 3.14-3.15
Dy (0.0000, 0.5000, 0.5000)  6 Sb 3.16
Dy (0.5000, 0.0000, 0.5000)  6 Sb 3.05
Sc (0.5000, 0.5000, 0.0000)  6 Sb 3.04
Sb (0.2623, 0.5000, 0.2527)  1 Sc 3.04, 3 Dy 3.05-3.16, 2 Pr 3.15
Sb (0.2632, 0.0000, 0.7557)  2 Sc 3.04, 3 Dy 3.05-3.16, 1 Pr 3.14
Sb (0.7368, 0.0000, 0.2443)  2 Sc 3.04, 3 Dy 3.05-3.16, 1 Pr 3.14
Sb (0.7377, 0.5000, 0.7473)  1 Sc 3.04, 3 Dy 3.05-3.16, 2 Pr 3.15

# 2
A geometry-optimized LiAs2Pb2 structure. Source: the Alexandria database, functional PBE.

- SG: No. 139

Cell lengths 7.5653, 7.5653, 7.5653 Å; angles 144.97, 144.97, 50.37 degrees
With the nearest neighbours (Å) after each atom.
Atoms (fractional coordinates):
Li (0.0000, 0.0000, 0.0000)  8 As 3.44
As (0.4125, 0.4125, 0.0000)  1 As 2.40
As (0.5875, 0.5875, 0.0000)  1 As 2.40
Pb (0.2500, 0.7500, 0.5000)  4 As 3.18, 4 Pb 3.22
Pb (0.7500, 0.2500, 0.5000)  4 As 3.18, 4 Pb 3.22

# 3
A geometry-optimized Th2RuSe structure. Source: the Alexandria database, functional PBE.

- SG: No. 12
- ΔE_f (raw): -1.0320 eV per atom

Cell lengths 7.2418, 7.2418, 5.9892 Å; angles 114.42, 114.42, 48.87 degrees
With the nearest neighbours (Å) after each atom.
Atoms (fractional coordinates):
Th (0.1044, 0.1044, 0.3548)  3 Ru 2.69-3.01, 2 Se 3.00
Th (0.3539, 0.3539, 0.1039)  3 Ru 2.69-3.01, 2 Se 3.00-3.01
Th (0.6461, 0.6461, 0.8961)  3 Ru 2.69-3.01, 2 Se 3.00-3.01
Th (0.8956, 0.8956, 0.6452)  3 Ru 2.69-3.01, 2 Se 3.00
Ru (0.1247, 0.1247, 0.8759)  6 Th 2.69-3.01
Ru (0.8753, 0.8753, 0.1241)  6 Th 2.69-3.01
Se (0.3754, 0.3754, 0.6257)  6 Th 3.00-3.18
Se (0.6246, 0.6246, 0.3743)  6 Th 3.00-3.18

# 4
A geometry-optimized NaYTm structure. Source: the Alexandria database, functional PBE.

- SG: No. 156

Cell lengths 3.5148, 3.5148, 9.1389 Å; angles 90.00, 90.00, 120.00 degrees
With the nearest neighbours (Å) after each atom.
Atoms (fractional coordinates):
Na (0.0000, 0.0000, 0.0000)  6 Na 3.51, 3 Tm 3.78, 3 Y 3.80
Y (0.3333, 0.6667, 0.6479)  3 Tm 3.41, 6 Y 3.51, 3 Na 3.80
Tm (0.6667, 0.3333, 0.3483)  3 Y 3.41, 6 Tm 3.51, 3 Na 3.78

Number 1: uncorrected energy -45.3 eV per cell, total moment 0.0 μB/f.u.. Number 2: uncorrected energy -18.4 eV per cell, total moment 0.0 μB/f.u.. Number 3: uncorrected energy -63.5 eV per cell, total moment 0.0 μB/f.u.. Number 4: uncorrected energy -11.8 eV per cell, total moment 0.1 μB/f.u..